Computed, not measured: crystalline Cs5Na4Cd at its relaxed geometry at the PBE level of DFT.

Computed properties:
The calculation puts the density of states at the Fermi level at 7.5 states/eV/f.u. As for the space-group type: C2/m, No. 12. For the formation energy, the calculation gives 0.017 eV/atom.

Unit cell a=14.2412 b=14.2412 c=8.1415 alpha=90.02 beta=90.02 gamma=24.51
Last column: nearest neighbours and their distance in Å.
Atoms (fractional coordinates):
Cs 0.0000 0.0000 0.0000  2 Cd 4.07, 6 Na 4.31-4.44
Cs 0.2715 0.2715 0.7403  2 Na 4.47, 1 Cs 4.97
Cs 0.3855 0.3855 0.2098  4 Na 4.12-4.54
Cs 0.6145 0.6145 0.7902  4 Na 4.12-4.54
Cs 0.7285 0.7285 0.2597  2 Na 4.47, 1 Cs 4.97
Na 0.1153 0.1153 0.3765  1 Cd 3.36, 2 Na 3.63
Na 0.4566 0.4566 0.6534  3 Na 3.48-3.63, 2 Cd 3.49
Na 0.5434 0.5434 0.3466  3 Na 3.48-3.63, 2 Cd 3.49
Na 0.8847 0.8847 0.6235  1 Cd 3.36, 2 Na 3.63
Cd 0.0000 0.0000 0.5000  6 Na 3.36-3.49

Computed, not measured: crystalline Cs4NaCd at its relaxed geometry at the PBE level of DFT.

Computed properties:
The calculation puts the density of states at the Fermi level at 4.2 states/eV/f.u. As for the space-group type: C2/c, No. 15. For the formation energy, the calculation gives 0.002 eV/atom.

Unit cell a=11.3564 b=11.3564 c=8.2879 alpha=102.06 beta=102.06 gamma=113.13
Last column: nearest neighbours and their distance in Å.
Atoms (fractional coordinates):
Cs 0.0610 0.7133 0.9302  2 Cd 4.11, 2 Na 4.51-4.58
Cs 0.2176 0.3640 0.6585  2 Cd 4.17-4.21, 1 Na 4.52
Cs 0.2867 0.9390 0.5698  2 Cd 4.11, 2 Na 4.51-4.58
Cs 0.3640 0.2176 0.1585  2 Cd 4.17-4.21, 1 Na 4.52
Cs 0.6360 0.7824 0.8415  2 Cd 4.17-4.21, 1 Na 4.52
Cs 0.7133 0.0610 0.4302  2 Cd 4.11, 2 Na 4.51-4.58
Cs 0.7824 0.6360 0.3415  2 Cd 4.17-4.21, 1 Na 4.52
Cs 0.9390 0.2867 0.0698  2 Cd 4.11, 2 Na 4.51-4.58
Na 0.3724 0.6276 0.2500  8 Cs 4.51-4.71
Na 0.6276 0.3724 0.7500  8 Cs 4.51-4.71
Cd 0.0015 0.9985 0.2500  8 Cs 4.11-4.21, 2 Cd 4.14
Cd 0.9985 0.0015 0.7500  8 Cs 4.11-4.21, 2 Cd 4.14

Computed, not measured: crystalline Cs5NaCd4 at its relaxed geometry at the PBE level of DFT.

Computed properties:
The calculation puts the density of states at the Fermi level at 5.8 states/eV/f.u. As for the space-group type: C2/m, No. 12. For the formation energy, the calculation gives -0.049 eV/atom.

Unit cell a=12.5420 b=12.5420 c=10.0370 alpha=112.97 beta=112.97 gamma=24.35
Last column: nearest neighbours and their distance in Å.
Atoms (fractional coordinates):
Cs 0.0000 0.0000 0.0000  6 Cd 4.14-4.21
Cs 0.2997 0.2997 0.7084  4 Cd 3.96-4.24
Cs 0.3654 0.3654 0.2338  4 Cd 3.81-4.18, 2 Na 4.24
Cs 0.6346 0.6346 0.7662  4 Cd 3.81-4.18, 2 Na 4.24
Cs 0.7003 0.7003 0.2916  4 Cd 3.96-4.24
Na 0.0000 0.0000 0.5000  6 Cd 3.17-3.46
Cd 0.1161 0.1161 0.4340  2 Cd 3.04, 1 Na 3.17
Cd 0.4507 0.4507 0.6444  2 Cd 3.04
Cd 0.5493 0.5493 0.3556  2 Cd 3.04
Cd 0.8839 0.8839 0.5660  2 Cd 3.04, 1 Na 3.17

Computed, not measured: crystalline CsNa3Cd at its relaxed geometry at the PBE level of DFT.

Computed properties:
The calculation puts the density of states at the Fermi level at 3.4 states/eV/f.u. As for the space-group type: C2/c, No. 15. For the formation energy, the calculation gives 0.002 eV/atom.

Unit cell a=10.7127 b=10.7127 c=8.2273 alpha=101.42 beta=101.42 gamma=70.37
Last column: nearest neighbours and their distance in Å.
Atoms (fractional coordinates):
Cs 0.0332 0.9668 0.7500  2 Cd 3.94, 4 Na 4.17-4.25, 2 Cs 4.19
Cs 0.3586 0.6414 0.2500  6 Cd 4.15-4.43, 8 Na 4.16-4.56
Cs 0.6414 0.3586 0.7500  6 Cd 4.15-4.43, 8 Na 4.16-4.56
Cs 0.9668 0.0332 0.2500  2 Cd 3.94, 4 Na 4.17-4.25, 2 Cs 4.19
Na 0.0184 0.3559 0.0889  1 Cd 3.32, 4 Na 3.50-3.63
Na 0.0265 0.3650 0.5987  2 Cd 3.38-3.66, 4 Na 3.42-3.55
Na 0.3117 0.3147 0.4060  2 Cd 3.38-3.39, 4 Na 3.54-3.63
Na 0.3147 0.3117 0.9060  2 Cd 3.38-3.39, 4 Na 3.54-3.63
Na 0.3559 0.0184 0.5889  1 Cd 3.32, 4 Na 3.50-3.63
Na 0.3650 0.0265 0.0987  2 Cd 3.38-3.66, 4 Na 3.42-3.55
Na 0.6350 0.9735 0.9013  2 Cd 3.38-3.66, 4 Na 3.42-3.55
Na 0.6441 0.9816 0.4111  1 Cd 3.32, 4 Na 3.50-3.63
Na 0.6853 0.6883 0.0940  2 Cd 3.38-3.39, 4 Na 3.54-3.63
Na 0.6883 0.6853 0.5940  2 Cd 3.38-3.39, 4 Na 3.54-3.63
Na 0.9735 0.6350 0.4013  2 Cd 3.38-3.66, 4 Na 3.42-3.55
Na 0.9816 0.6441 0.9111  1 Cd 3.32, 4 Na 3.50-3.63
Cd 0.2390 0.5827 0.7077  1 Cd 3.03, 4 Na 3.32-3.39
Cd 0.4173 0.7610 0.7923  1 Cd 3.03, 4 Na 3.32-3.39
Cd 0.5827 0.2390 0.2077  1 Cd 3.03, 4 Na 3.32-3.39
Cd 0.7610 0.4173 0.2923  1 Cd 3.03, 4 Na 3.32-3.39

Computed, not measured: crystalline Cs3Na2Cd at its relaxed geometry at the PBE level of DFT.

Computed properties:
The calculation puts the density of states at the Fermi level at 4.9 states/eV/f.u. As for the space-group type: C2/c, No. 15. For the formation energy, the calculation gives 0.032 eV/atom.

Unit cell a=9.2203 b=9.2203 c=10.2857 alpha=103.36 beta=103.36 gamma=88.09
Last column: nearest neighbours and their distance in Å.
Atoms (fractional coordinates):
Cs 0.1159 0.8841 0.7500  1 Cd 3.87, 2 Na 4.15
Cs 0.2525 0.4047 0.0205  1 Cd 4.08, 2 Na 4.40-4.42
Cs 0.4047 0.2525 0.5205  1 Cd 4.08, 2 Na 4.40-4.42
Cs 0.5953 0.7475 0.4795  1 Cd 4.08, 2 Na 4.40-4.42
Cs 0.7475 0.5953 0.9795  1 Cd 4.08, 2 Na 4.40-4.42
Cs 0.8841 0.1159 0.2500  1 Cd 3.87, 2 Na 4.15
Na 0.0545 0.5787 0.3752  1 Cd 3.17
Na 0.4213 0.9455 0.1248  1 Cd 3.17
Na 0.5787 0.0545 0.8752  1 Cd 3.17
Na 0.9455 0.4213 0.6248  1 Cd 3.17
Cd 0.1856 0.8144 0.2500  2 Na 3.17
Cd 0.8144 0.1856 0.7500  2 Na 3.17

Computed, not measured: crystalline CsNa2Cd at its relaxed geometry at the PBE level of DFT.

Computed properties:
The calculation puts the density of states at the Fermi level at 2.9 states/eV/f.u. As for the space-group type: R3m, No. 160. For the formation energy, the calculation gives -0.006 eV/atom.

Unit cell a=7.6206 b=7.6206 c=7.6206 alpha=43.69 beta=43.69 gamma=43.69
Last column: nearest neighbours and their distance in Å.
Atoms (fractional coordinates):
Cs 0.0000 0.0000 0.0000  7 Na 4.04-4.48, 4 Cd 4.07-4.32
Na 0.1958 0.1958 0.1958  3 Na 3.42, 3 Cd 3.50
Na 0.4813 0.4813 0.4813  3 Cd 3.28, 3 Na 3.42
Cd 0.8030 0.8030 0.8030  6 Na 3.28-3.50

Computed, not measured: crystalline Cs3NaCd3 at its relaxed geometry at the PBE level of DFT.

Computed properties:
The calculation puts the density of states at the Fermi level at 4.3 states/eV/f.u. As for the space-group type: C2/m, No. 12. For the formation energy, the calculation gives -0.040 eV/atom.

Unit cell a=7.6369 b=7.6369 c=18.7231 alpha=109.80 beta=109.80 gamma=44.29
Last column: nearest neighbours and their distance in Å.
Atoms (fractional coordinates):
Cs 0.0232 0.0232 0.3759  6 Cd 4.02-4.16, 4 Na 4.10-4.29
Cs 0.1112 0.1112 0.9241  7 Cd 4.00-4.29
Cs 0.2546 0.2546 0.2295  6 Cd 3.98-4.33
Cs 0.7454 0.7454 0.7705  6 Cd 3.98-4.33
Cs 0.8888 0.8888 0.0759  7 Cd 4.00-4.29
Cs 0.9768 0.9768 0.6241  6 Cd 4.02-4.16, 4 Na 4.10-4.29
Na 0.2577 0.2577 0.5857  4 Cd 3.36-3.46
Na 0.7423 0.7423 0.4143  4 Cd 3.36-3.46
Cd 0.3821 0.3821 0.4633  1 Cd 3.11, 3 Na 3.36-3.42
Cd 0.4137 0.4137 0.9221  2 Cd 3.01-3.04
Cd 0.4390 0.4390 0.7694  1 Cd 3.01
Cd 0.5610 0.5610 0.2306  1 Cd 3.01
Cd 0.5863 0.5863 0.0779  2 Cd 3.01-3.04
Cd 0.6179 0.6179 0.5367  1 Cd 3.11, 3 Na 3.36-3.42

Computed, not measured: crystalline Cs6Na3Cd at its relaxed geometry at the PBE level of DFT.

Computed properties:
The calculation puts the density of states at the Fermi level at 8.1 states/eV/f.u. As for the space-group type: P2_1/c, No. 14. For the formation energy, the calculation gives 0.026 eV/atom.

Unit cell a=12.6914 b=8.7444 c=18.2722 alpha=90.00 beta=133.89 gamma=90.00
Last column: nearest neighbours and their distance in Å.
Atoms (fractional coordinates):
Cs 0.0856 0.2360 0.2350  1 Cd 4.17, 3 Na 4.30-4.65
Cs 0.0856 0.2640 0.7350  1 Cd 4.17, 3 Na 4.30-4.65
Cs 0.2233 0.1068 0.5581  1 Cd 4.10, 1 Na 4.42
Cs 0.2233 0.3932 0.0581  1 Cd 4.10, 1 Na 4.42
Cs 0.3928 0.5809 0.5713  1 Cd 4.25, 2 Na 4.41-4.56, 1 Cs 4.60
Cs 0.3928 0.9191 0.0713  1 Cd 4.25, 2 Na 4.41-4.56, 1 Cs 4.60
Cs 0.6072 0.0809 0.9287  1 Cd 4.25, 2 Na 4.41-4.56, 1 Cs 4.60
Cs 0.6072 0.4191 0.4287  1 Cd 4.25, 2 Na 4.41-4.56, 1 Cs 4.60
Cs 0.7767 0.6068 0.9419  1 Cd 4.10, 1 Na 4.42
Cs 0.7767 0.8932 0.4419  1 Cd 4.10, 1 Na 4.42
Cs 0.9144 0.7360 0.2650  1 Cd 4.17, 3 Na 4.30-4.65
Cs 0.9144 0.7640 0.7650  1 Cd 4.17, 3 Na 4.30-4.65
Na 0.2397 0.6972 0.7286  1 Cd 3.47
Na 0.2397 0.8028 0.2286  1 Cd 3.47
Na 0.5000 0.0000 0.5000  2 Na 3.97, 4 Cs 4.41-4.42
Na 0.5000 0.5000 0.0000  2 Na 3.97, 4 Cs 4.41-4.42
Na 0.7603 0.1972 0.7714  1 Cd 3.47
Na 0.7603 0.3028 0.2714  1 Cd 3.47
Cd 0.0000 0.0000 0.0000  2 Na 3.47
Cd 0.0000 0.5000 0.5000  2 Na 3.47

Computed, not measured: crystalline Cs3NaCd at its relaxed geometry at the PBE level of DFT.

Computed properties:
The calculation puts the density of states at the Fermi level at 3.4 states/eV/f.u. As for the space-group type: C2/m, No. 12. For the formation energy, the calculation gives -0.013 eV/atom.

Unit cell a=11.5071 b=11.5071 c=11.8752 alpha=93.27 beta=93.27 gamma=27.11
Last column: nearest neighbours and their distance in Å.
Atoms (fractional coordinates):
Cs 0.0624 0.0624 0.2075  4 Na 4.36-4.50, 1 Cd 4.56
Cs 0.2446 0.2446 0.8047  3 Cd 4.10-4.22
Cs 0.3946 0.3946 0.4393  3 Cd 3.83-4.02
Cs 0.6054 0.6054 0.5607  3 Cd 3.83-4.02
Cs 0.7554 0.7554 0.1953  3 Cd 4.10-4.22
Cs 0.9376 0.9376 0.7925  4 Na 4.36-4.50, 1 Cd 4.56
Na 0.4132 0.4132 0.0743  8 Cs 4.36-4.80, 1 Na 4.36
Na 0.5868 0.5868 0.9257  8 Cs 4.36-4.80, 1 Na 4.36
Cd 0.2243 0.2243 0.4589  2 Cd 3.07
Cd 0.7757 0.7757 0.5411  2 Cd 3.07

Computed, not measured: crystalline CsNa2Cd at its relaxed geometry at the PBE level of DFT.

Computed properties:
The calculation puts the density of states at the Fermi level at 2.2 states/eV/f.u. As for the space-group type: P4/mmm, No. 123. For the formation energy, the calculation gives 0.042 eV/atom.

Unit cell a=4.2235 b=4.2235 c=9.7738 alpha=90.00 beta=90.00 gamma=90.00
Last column: nearest neighbours and their distance in Å.
Atoms (fractional coordinates):
Cs 0.0000 0.0000 0.0000  4 Cs 4.22, 8 Na 4.42
Na 0.5000 0.5000 0.3336  1 Na 3.25, 4 Cd 3.40
Na 0.5000 0.5000 0.6664  1 Na 3.25, 4 Cd 3.40
Cd 0.0000 0.0000 0.5000  8 Na 3.40